VASP calculation (GGA-PBE) on crystalline TaTc2Pt at its relaxed geometry.

Cell: 4.826 4.826 4.827 Å, 131.29 131.28 71.35°
Positions (direct):
Pt 0.500 0.500 0.000
Ta 0.250 0.750 0.500
Tc 0.000 0.000 0.000
Tc 0.750 0.250 0.500

**Calculated total energy**: -39.89 eV for the cell shown
**ρ**: 15.3 Mg/m³
**DOS(E_F)**: 3.734 states/eV per cell
**ΔH_f (0 K)**: -0.32 eV/atom
**Crystal system**: tetragonal